<1>
# CaInS2N (PBE-GGA, relaxed)
# SG = No. 123
data_CaInS2N
_chemical_formula_sum 'Ca1 In1 S2 N1'
_cell_length_a 5.372
_cell_length_b 5.372
_cell_length_c 4.644
_cell_angle_alpha 90.00
_cell_angle_beta 90.00
_cell_angle_gamma 90.00
_space_group_name_H-M_alt 'P 1'
_space_group_IT_number 1
loop_
_space_group_symop_operation_xyz
'x,y,z'
loop_
_atom_site_label
_atom_site_fract_x
_atom_site_fract_y
_atom_site_fract_z
N1 0.000 0.000 0.500
In1 0.500 0.500 0.500
S1 0.000 0.500 0.000
Ca1 0.000 0.000 0.000
S2 0.500 0.000 0.000

<2>
# CaInS2N (PBE-GGA, relaxed)
# SG = No. 123
data_CaInS2N
_chemical_formula_sum 'Ca1 In1 S2 N1'
_cell_length_a 5.153
_cell_length_b 5.153
_cell_length_c 4.196
_cell_angle_alpha 90.00
_cell_angle_beta 90.00
_cell_angle_gamma 90.00
_space_group_name_H-M_alt 'P 1'
_space_group_IT_number 1
loop_
_space_group_symop_operation_xyz
'x,y,z'
loop_
_atom_site_label
_atom_site_fract_x
_atom_site_fract_y
_atom_site_fract_z
S1 0.500 0.000 0.000
S2 0.000 0.500 0.000
N1 0.000 0.000 0.500
Ca1 0.500 0.500 0.500
In1 0.000 0.000 0.000

Stability, descending: <2>, <1>